The following is a PBE-GGA calculation of a geometry-optimized InHg2Au2 structure, from the Alexandria database.

The structure in POSCAR format:
```
InHg2Au2
1.0
3.9171 0.0000 0.0000
0.0000 3.9171 0.0000
1.9586 1.9586 7.8479
In Hg Au
1 2 2
Direct
0.0000 0.0000 0.0000
0.6049 0.6049 0.7902
0.3951 0.3951 0.2098
0.2500 0.7500 0.5000
0.7500 0.2500 0.5000
```

Total moment   0.0 μB/f.u.
Crystal system   tetragonal
Calculated volume   120.42 Å³ per cell
SG   I4/mmm
VASP energy   -1.920 eV/atom
Density of states at the Fermi level   0.32 states/eV per atom